# La2Tb3Sm8

Crystalline La2Tb3Sm8 at its relaxed geometry (PBE, Alexandria via LeMat-Bulk).

```
data_La2Tb3Sm8
_chemical_formula_sum 'La4 Tb6 Sm16'
_space_group_name_H-M_alt 'C 1 2/m 1'
_space_group_IT_number 12
_space_group_name_Hall '-C 2y'
_cell_length_a 14.922
_cell_length_b 9.283
_cell_length_c 6.993
_cell_angle_alpha 90.00
_cell_angle_beta 108.08
_cell_angle_gamma 90.00
loop_
_atom_site_label
_atom_site_fract_x
_atom_site_fract_y
_atom_site_fract_z
_atom_site_occupancy
La1 0.222 0.000 0.411 1
Tb1 0.000 0.000 0.000 1
Tb2 0.000 0.172 0.500 1
Sm1 0.079 0.500 0.726 1
Sm2 0.120 0.316 0.172 1
Sm3 0.188 0.000 0.880 1
```

Relative energy among the computed polymorphs (meV per atom): 32
Volume (Å³/cell): 920.8
Formation enthalpy at 0 K (eV per atom): 0.21



# TaTi3Zn

Crystalline TaTi3Zn at its relaxed geometry (PBE, Alexandria via LeMat-Bulk).

```
data_TaTi3Zn
_chemical_formula_sum 'Ta1 Ti3 Zn1'
_space_group_name_H-M_alt 'P m -3 m'
_space_group_IT_number 221
_space_group_name_Hall '-P 4 2 3'
_cell_length_a 4.811
_cell_length_b 4.811
_cell_length_c 4.811
_cell_angle_alpha 90.00
_cell_angle_beta 90.00
_cell_angle_gamma 90.00
loop_
_atom_site_label
_atom_site_fract_x
_atom_site_fract_y
_atom_site_fract_z
_atom_site_occupancy
Ta1 0.000 0.000 0.000 1
Ti1 0.000 0.000 0.500 1
Zn1 0.500 0.500 0.500 1
```

Relative energy among the computed polymorphs (meV per atom): 1098
Volume (Å³/cell): 111.4
Formation enthalpy at 0 K (eV per atom): 1.07



# K3Zr3CrTe8

Crystalline K3Zr3CrTe8 at its relaxed geometry (PBE, Alexandria via LeMat-Bulk).

```
data_K3Zr3CrTe8
_chemical_formula_sum 'K6 Zr6 Cr2 Te16'
_space_group_name_H-M_alt 'C 1 2/m 1'
_space_group_IT_number 12
_space_group_name_Hall '-C 2y'
_cell_length_a 14.286
_cell_length_b 8.239
_cell_length_c 9.794
_cell_angle_alpha 90.00
_cell_angle_beta 119.12
_cell_angle_gamma 90.00
loop_
_atom_site_label
_atom_site_fract_x
_atom_site_fract_y
_atom_site_fract_z
_atom_site_occupancy
K1 0.000 0.000 0.000 1
K2 0.250 0.250 0.000 1
Zr1 0.000 0.500 0.500 1
Zr2 0.250 0.250 0.500 1
Cr1 0.000 0.000 0.500 1
Te1 0.016 0.242 0.306 1
Te2 0.226 0.000 0.694 1
Te3 0.235 0.500 0.704 1
```

Energy relative to the elements, uncorrected (meV/atom): -847
Volume (Å³/cell): 1007.0



# ZrTaCr2

Crystalline ZrTaCr2 at its relaxed geometry (PBE, Alexandria via LeMat-Bulk).

```
data_ZrTaCr2
_chemical_formula_sum 'Zr1 Ta1 Cr2'
_space_group_name_H-M_alt 'P 4/m m m'
_space_group_IT_number 123
_space_group_name_Hall '-P 4 2'
_cell_length_a 4.500
_cell_length_b 4.500
_cell_length_c 3.166
_cell_angle_alpha 90.00
_cell_angle_beta 90.00
_cell_angle_gamma 90.00
loop_
_atom_site_label
_atom_site_fract_x
_atom_site_fract_y
_atom_site_fract_z
_atom_site_occupancy
Zr1 0.000 0.000 0.000 1
Ta1 0.500 0.500 0.000 1
Cr1 0.000 0.500 0.500 1
```

Relative energy among the computed polymorphs (meV per atom): 10
Volume (Å³/cell): 64.1
Formation enthalpy at 0 K (eV per atom): 0.15